Below is GaHgSb2 after structural relaxation, with properties calculated at the GGA-PBE level.

Its final energy is -2.73 eV per atom.

a = 5.2509 Å, b = 5.2509 Å, c = 5.2509 Å
α = 60.00°, β = 60.00°, γ = 60.00°
With the nearest neighbours (Å) after each atom.
Sites, in units of the cell vectors:
1 Ga 0.5000 0.5000 0.5000  4 Hg 3.22, 4 Sb 3.22
2 Sb 0.0000 0.0000 0.0000  4 Hg 3.22, 4 Sb 3.22
3 Sb 0.7500 0.7500 0.7500  4 Ga 3.22, 4 Sb 3.22
4 Hg 0.2500 0.2500 0.2500  4 Sb 3.22, 4 Ga 3.22